Entry 1:
{
  "formula": "NaDyTmAl",
  "functional": "PBE-GGA",
  "state": "relaxed",
  "lattice": [[-3.7482, -3.2445, 1.7364], [0.5661, -5.1942, -0.5388], [0.8719, -2.9990, 4.2234]],
  "species": ["Na", "Al", "Dy", "Tm"],
  "fractional_positions": [[0.5000, 0.5000, 0.5000], [0.0000, 0.0000, 0.0000], [0.2500, 0.2500, 0.2500], [0.7500, 0.7500, 0.7500]],
  "magnetic_moment_mub_per_cell": 0.00,
  "dos_at_fermi_per_ev_cell": 4.0,
  "space_group": "No. 216",
  "crystal_system": "cubic"
}

***

Entry 2:
{
  "formula": "NaDyYAl",
  "functional": "PBE-GGA",
  "state": "relaxed",
  "lattice": [[-3.0661, -4.2062, 0.9473], [1.0090, -4.6040, -2.4031], [1.8928, -4.0795, 2.7867]],
  "species": ["Y", "Dy", "Al", "Na"],
  "fractional_positions": [[0.7500, 0.7500, 0.7500], [0.2500, 0.2500, 0.2500], [0.5000, 0.5000, 0.5000], [0.0000, 0.0000, 0.0000]],
  "magnetic_moment_mub_per_cell": 0.00,
  "dos_at_fermi_per_ev_cell": 4.1,
  "space_group": "No. 216",
  "crystal_system": "cubic"
}

***

Entry 3:
{
  "formula": "Dy6Nb4Al43",
  "functional": "PBE-GGA",
  "state": "relaxed",
  "lattice": [[-10.5429, 0.7887, -3.4657], [3.0865, -8.4502, 6.5463], [-4.0057, 9.6840, 14.3890]],
  "species": ["Nb", "Nb", "Nb", "Nb", "Nb", "Nb", "Nb", "Nb", "Al", "Al", "Al", "Al", "Al", "Al", "Al", "Al", "Al", "Al", "Al", "Al", "Al", "Al", "Al", "Al", "Al", "Al", "Al", "Al", "Al", "Al", "Al", "Al", "Al", "Al", "Al", "Al", "Al", "Al", "Al", "Al", "Al", "Al", "Al", "Al", "Al", "Al", "Al", "Al", "Al", "Al", "Al", "Al", "Al", "Al", "Al", "Al", "Al", "Al", "Al", "Al", "Al", "Al", "Al", "Al", "Al", "Al", "Al", "Al", "Al", "Al", "Al", "Al", "Al", "Al", "Al", "Al", "Al", "Al", "Al", "Al", "Al", "Al", "Al", "Al", "Al", "Al", "Al", "Al", "Al", "Al", "Al", "Al", "Al", "Al", "Dy", "Dy", "Dy", "Dy", "Dy", "Dy", "Dy", "Dy", "Dy", "Dy", "Dy", "Dy"],
  "fractional_positions": [[0.7268, 0.7268, 0.2500], [0.2732, 0.2732, 0.7500], [0.0000, 0.7268, 0.7500], [0.7268, 0.0000, 0.7500], [0.2732, 0.0000, 0.2500], [0.0000, 0.0000, 0.0000], [0.0000, 0.2732, 0.2500], [0.0000, 0.0000, 0.5000], [0.5550, 0.4057, 0.7500], [0.2368, 0.3951, 0.3372], [0.6667, 0.3333, 0.6251], [0.5550, 0.1493, 0.2500], [0.1583, 0.7632, 0.3372], [0.1493, 0.5550, 0.2500], [0.0000, 0.1588, 0.3848], [0.8507, 0.4057, 0.2500], [0.4450, 0.5943, 0.2500], [0.5943, 0.1493, 0.7500], [0.3951, 0.2368, 0.3372], [0.5061, 0.7531, 0.5000], [0.2469, 0.7531, 0.5000], [0.8412, 0.8412, 0.3848], [0.7632, 0.1583, 0.1628], [0.0000, 0.7439, 0.0292], [0.1493, 0.5943, 0.7500], [0.2561, 0.2561, 0.4708], [0.2469, 0.4939, 0.0000], [0.8417, 0.6049, 0.3372], [0.3951, 0.1583, 0.6628], [0.5943, 0.4450, 0.2500], [0.4939, 0.2469, 0.0000], [0.8519, 0.8519, 0.7500], [0.2561, 0.2561, 0.0292], [0.7439, 0.7439, 0.5292], [0.3333, 0.6667, 0.1251], [0.0000, 0.1481, 0.7500], [0.0000, 0.2561, 0.9708], [0.4450, 0.8507, 0.7500], [0.8417, 0.6049, 0.1628], [0.7531, 0.2469, 0.0000], [0.6049, 0.8417, 0.1628], [0.2561, 0.0000, 0.9708], [0.0000, 0.8412, 0.8848], [0.0000, 0.8412, 0.6152], [0.4057, 0.8507, 0.2500], [0.0000, 0.7439, 0.4708], [0.7632, 0.6049, 0.8372], [0.1583, 0.3951, 0.8372], [0.2368, 0.3951, 0.1628], [0.7531, 0.5061, 0.5000], [0.8412, 0.0000, 0.6152], [0.3333, 0.6667, 0.6251], [0.8519, 0.0000, 0.2500], [0.1481, 0.0000, 0.7500], [0.6049, 0.7632, 0.8372], [0.7531, 0.5061, 0.0000], [0.6049, 0.7632, 0.6628], [0.2469, 0.7531, 0.0000], [0.8417, 0.2368, 0.8372], [0.8507, 0.4450, 0.7500], [0.1583, 0.3951, 0.6628], [0.3333, 0.6667, 0.8749], [0.6667, 0.3333, 0.1251], [0.1588, 0.0000, 0.1152], [0.3951, 0.1583, 0.8372], [0.4939, 0.2469, 0.5000], [0.6049, 0.8417, 0.3372], [0.7439, 0.0000, 0.0292], [0.7632, 0.6049, 0.6628], [0.7439, 0.7439, 0.9708], [0.7439, 0.0000, 0.4708], [0.3951, 0.2368, 0.1628], [0.2561, 0.0000, 0.5292], [0.2469, 0.4939, 0.5000], [0.1588, 0.1588, 0.6152], [0.1583, 0.7632, 0.1628], [0.6667, 0.3333, 0.3749], [0.0000, 0.8519, 0.2500], [0.8417, 0.2368, 0.6628], [0.2368, 0.8417, 0.8372], [0.4057, 0.5550, 0.7500], [0.7531, 0.2469, 0.5000], [0.8412, 0.8412, 0.1152], [0.1588, 0.0000, 0.3848], [0.0000, 0.2561, 0.5292], [0.6667, 0.3333, 0.8749], [0.8412, 0.0000, 0.8848], [0.5061, 0.7531, 0.0000], [0.2368, 0.8417, 0.6628], [0.1588, 0.1588, 0.8848], [0.3333, 0.6667, 0.3749], [0.1481, 0.1481, 0.2500], [0.0000, 0.1588, 0.1152], [0.7632, 0.1583, 0.3372], [0.5294, 0.5294, 0.4038], [0.0000, 0.5294, 0.5962], [0.0000, 0.5294, 0.9038], [0.5294, 0.0000, 0.9038], [0.0000, 0.4706, 0.0962], [0.4706, 0.0000, 0.0962], [0.4706, 0.4706, 0.5962], [0.4706, 0.0000, 0.4038], [0.4706, 0.4706, 0.9038], [0.5294, 0.5294, 0.0962], [0.0000, 0.4706, 0.4038], [0.5294, 0.0000, 0.5962]],
  "magnetic_moment_mub_per_cell": 0.00,
  "dos_at_fermi_per_ev_cell": 33.6,
  "space_group": "No. 193",
  "crystal_system": "hexagonal"
}

***

Looking at DFT total energy for the records above, in order, we have -3.556, -4.084, -4.656 eV per atom.